Material: ScFeTeN2
Method: DFT, PBE
State: relaxed

```
ScFeTeN2
1.0
-3.111 2.087 -1.583
-2.538 -3.011 1.018
-0.956 2.601 5.308
Sc Te Fe N
1 1 1 2
direct
0.000 0.000 0.000 Sc
0.000 0.000 0.500 Te
0.500 0.500 0.500 Fe
0.000 0.500 0.000 N
0.500 0.000 0.000 N
```

Results
uncorrected formation energy	0.90	eV/atom
distance to the lowest polymorph of the same formula	423	meV per atom
DOS at the Fermi energy	6.98	states/eV per cell